Record 1
# DyThP

DyThP after structural relaxation (PBE-GGA, Alexandria).

Cell and atoms, written as extended XYZ:
```
3
Lattice="-3.092 -2.058 -1.171 2.902 0.742 -2.490 2.996 -5.546 1.839" Properties=species:S:1:pos:R:3 pbc="T T T"
P -0.071 -3.019 -0.983
Th 0.222 -0.411 0.136
Dy 2.655 -3.433 -0.975
```

Properties
E above lowest polymorph   0.00 eV/f.u.
Formation energy   -0.86 eV/atom
E_tot   -6.6691 eV/atom
M_tot   0.1 μB/cell

=====

Record 2
# DyTh2P3

DyTh2P3 after structural relaxation (PBE-GGA, Alexandria).

Cell and atoms, written as extended XYZ:
```
6
Lattice="-2.399 -1.404 -3.008 -2.777 -3.395 3.799 -1.440 6.926 0.705" Properties=species:S:1:pos:R:3 pbc="T T T"
Dy -3.308 1.064 0.748
Th -4.555 -2.843 0.777
Th -2.061 4.970 0.719
P -3.195 -1.113 -1.115
P -3.421 3.241 2.611
P -1.920 2.761 -1.152
```

Properties
Formation energy   -1.57 eV/atom
E_tot   -7.5172 eV/atom
M_tot   0.0 μB/cell

=====

Record 3
# DyTh3P4

DyTh3P4 after structural relaxation (PBE-GGA, Alexandria).

Cell and atoms, written as extended XYZ:
```
16
Lattice="7.128 0.077 0.000 -2.426 6.691 0.000 0.000 0.000 8.208" Properties=species:S:1:pos:R:3 pbc="T T T"
P 6.506 1.731 5.154
P 2.972 1.677 7.206
P 2.942 1.693 3.053
P -0.592 1.639 1.002
P 5.294 5.129 7.206
P 1.760 5.075 5.154
P 1.730 5.090 1.002
P -1.804 5.036 3.053
Th 5.346 0.057 3.068
Th 1.782 0.019 5.140
Th 4.133 3.403 5.140
Th 4.133 3.403 1.019
Th 0.569 3.365 3.068
Th 0.569 3.365 7.189
Dy 5.346 0.057 7.192
Dy 1.782 0.019 1.015
```

Properties
Formation energy   -1.57 eV/atom
E_tot   -7.6301 eV/atom
M_tot   0.0 μB/cell